[1]
{
  "formula": "KRb2TlCl6",
  "functional": "meta-GGA SCAN",
  "state": "single point on PBEsol structure",
  "dft_energy_ev_per_atom": -18.617,
  "lattice_angstrom": [[-5.909, -4.534, -2.087], [0.951, -7.668, -0.369], [-3.399, -4.575, 5.230]],
  "species": ["Tl", "K", "Rb", "Rb", "Cl", "Cl", "Cl", "Cl", "Cl", "Cl"],
  "frac_coords": [[0.000, 0.000, 0.000], [0.500, 0.500, 0.500], [0.250, 0.250, 0.250], [0.750, 0.750, 0.750], [0.235, 0.765, 0.235], [0.235, 0.235, 0.765], [0.765, 0.765, 0.235], [0.765, 0.235, 0.235], [0.235, 0.765, 0.765], [0.765, 0.235, 0.765]]
}

[2]
{
  "formula": "TaBe2F",
  "functional": "meta-GGA SCAN",
  "state": "single point on PBEsol structure",
  "dft_energy_ev_per_atom": -19.095,
  "lattice_angstrom": [[4.085, 0.000, 0.000], [2.043, 3.538, 0.000], [2.043, 1.179, 3.336]],
  "species": ["Be", "Be", "F", "Ta"],
  "frac_coords": [[0.250, 0.250, 0.250], [0.750, 0.750, 0.750], [0.000, 0.000, 0.000], [0.500, 0.500, 0.500]]
}

[3]
{
  "formula": "In3CuW",
  "functional": "meta-GGA SCAN",
  "state": "single point on PBEsol structure",
  "formation_energy_ev_per_atom": 1.1376,
  "lattice_angstrom": [[-0.148, -2.735, -4.424], [5.124, -0.836, 0.345], [-0.892, -4.347, 2.717]],
  "species": ["Cu", "W", "In", "In", "In"],
  "frac_coords": [[0.500, 0.500, 0.500], [0.000, 0.000, 0.000], [0.000, 0.500, 0.000], [0.000, 0.000, 0.500], [0.500, 0.000, 0.000]]
}

[4]
{
  "formula": "LaAg2As",
  "functional": "meta-GGA SCAN",
  "state": "single point on PBEsol structure",
  "formation_energy_ev_per_atom": -0.4564,
  "lattice_angstrom": [[-0.802, 4.872, -0.110], [-3.621, -3.062, 1.381], [2.964, -1.932, 3.446]],
  "species": ["As", "Ag", "Ag", "La"],
  "frac_coords": [[0.000, 0.500, 0.500], [0.000, 0.000, 0.000], [0.500, 0.250, 0.750], [0.500, 0.750, 0.250]]
}

[5]
{
  "formula": "Tc5Rh4",
  "functional": "meta-GGA SCAN",
  "state": "single point on PBEsol structure",
  "formation_energy_ev_per_atom": -0.0854,
  "lattice_angstrom": [[-3.769, -0.238, -0.513], [-2.399, -2.765, 4.748], [-2.553, 4.900, 2.328]],
  "species": ["Rh", "Rh", "Rh", "Rh", "Tc", "Tc", "Tc", "Tc", "Tc"],
  "frac_coords": [[0.671, 0.329, 0.329], [0.329, 0.671, 0.671], [0.000, 0.329, 0.671], [0.000, 0.671, 0.329], [0.000, 0.000, 0.000], [0.666, 0.668, 0.000], [0.334, 0.000, 0.332], [0.666, 0.000, 0.668], [0.334, 0.332, 0.000]]
}

[6]
{
  "formula": "TlPt2Pb",
  "functional": "meta-GGA SCAN",
  "state": "single point on PBEsol structure",
  "formation_energy_ev_per_atom": -0.0681,
  "lattice_angstrom": [[3.691, 0.000, 0.000], [0.000, 4.095, 0.000], [-1.845, 0.000, 5.360]],
  "species": ["Pb", "Tl", "Pt", "Pt"],
  "frac_coords": [[0.400, 0.500, 0.799], [0.100, 0.000, 0.200], [0.831, 0.000, 0.662], [0.664, 0.500, 0.327]]
}

[7]
{
  "formula": "NaSi3BO8",
  "functional": "meta-GGA SCAN",
  "state": "single point on PBEsol structure",
  "dft_energy_ev_per_atom": -9.933,
  "lattice_angstrom": [[6.845, -0.007, -0.006], [-2.108, 6.907, 0.000], [-1.399, -3.746, 6.317]],
  "species": ["Na", "Na", "Si", "Si", "Si", "Si", "Si", "Si", "B", "B", "O", "O", "O", "O", "O", "O", "O", "O", "O", "O", "O", "O", "O", "O", "O", "O"],
  "frac_coords": [[0.133, 0.264, 0.249], [0.867, 0.736, 0.751], [0.209, 0.816, 0.197], [0.791, 0.184, 0.803], [0.320, 0.804, 0.601], [0.680, 0.196, 0.399], [0.354, 0.549, 0.821], [0.646, 0.451, 0.179], [0.222, 0.173, 0.852], [0.778, 0.827, 0.148], [0.004, 0.143, 0.872], [0.996, 0.857, 0.128], [0.275, 0.572, 0.611], [0.725, 0.428, 0.389], [0.211, 0.943, 0.748], [0.789, 0.057, 0.252], [0.233, 0.651, 0.982], [0.767, 0.349, 0.018], [0.273, 0.281, 0.732], [0.727, 0.719, 0.268], [0.203, 0.707, 0.349], [0.797, 0.293, 0.651], [0.382, 0.308, 0.072], [0.618, 0.692, 0.928], [0.417, 0.062, 0.326], [0.583, 0.938, 0.674]]
}

[8]
{
  "formula": "NaMoAsO6",
  "functional": "meta-GGA SCAN",
  "state": "single point on PBEsol structure",
  "dft_energy_ev_per_atom": -12.587,
  "lattice_angstrom": [[6.566, 0.000, 0.000], [0.000, 10.094, 0.000], [0.000, 0.000, 15.220]],
  "species": ["Na", "Na", "Na", "Na", "Na", "Na", "Na", "Na", "Mo", "Mo", "Mo", "Mo", "Mo", "Mo", "Mo", "Mo", "As", "As", "As", "As", "As", "As", "As", "As", "O", "O", "O", "O", "O", "O", "O", "O", "O", "O", "O", "O", "O", "O", "O", "O", "O", "O", "O", "O", "O", "O", "O", "O", "O", "O", "O", "O", "O", "O", "O", "O", "O", "O", "O", "O", "O", "O", "O", "O", "O", "O", "O", "O", "O", "O", "O", "O"],
  "frac_coords": [[0.767, 0.305, 0.557], [0.233, 0.805, 0.443], [0.767, 0.805, 0.943], [0.279, 0.337, 0.690], [0.721, 0.337, 0.190], [0.721, 0.837, 0.310], [0.279, 0.837, 0.810], [0.233, 0.305, 0.057], [0.017, 0.506, 0.851], [0.487, 0.142, 0.400], [0.983, 0.506, 0.351], [0.983, 0.006, 0.149], [0.513, 0.642, 0.600], [0.513, 0.142, 0.900], [0.017, 0.006, 0.649], [0.487, 0.642, 0.100], [0.490, 0.982, 0.103], [0.018, 0.165, 0.853], [0.490, 0.482, 0.397], [0.982, 0.165, 0.353], [0.018, 0.665, 0.647], [0.982, 0.665, 0.147], [0.510, 0.482, 0.897], [0.510, 0.982, 0.603], [0.683, 0.993, 0.179], [0.974, 0.306, 0.294], [0.499, 0.341, 0.457], [0.211, 0.151, 0.929], [0.211, 0.651, 0.571], [0.501, 0.341, 0.957], [0.021, 0.674, 0.872], [0.498, 0.623, 0.460], [0.522, 0.709, 0.202], [0.021, 0.174, 0.628], [0.802, 0.663, 0.582], [0.802, 0.163, 0.918], [0.522, 0.209, 0.298], [0.498, 0.123, 0.040], [0.726, 0.988, 0.667], [0.198, 0.163, 0.418], [0.026, 0.806, 0.706], [0.789, 0.651, 0.071], [0.955, 0.938, 0.047], [0.026, 0.306, 0.794], [0.683, 0.493, 0.321], [0.198, 0.663, 0.082], [0.478, 0.709, 0.702], [0.499, 0.841, 0.043], [0.955, 0.438, 0.453], [0.274, 0.988, 0.167], [0.022, 0.026, 0.790], [0.022, 0.526, 0.710], [0.978, 0.026, 0.290], [0.478, 0.209, 0.798], [0.978, 0.526, 0.210], [0.726, 0.488, 0.833], [0.501, 0.841, 0.543], [0.789, 0.151, 0.429], [0.045, 0.938, 0.547], [0.979, 0.174, 0.128], [0.274, 0.488, 0.333], [0.502, 0.123, 0.540], [0.519, 0.974, 0.879], [0.519, 0.474, 0.621], [0.045, 0.438, 0.953], [0.317, 0.993, 0.679], [0.502, 0.623, 0.960], [0.979, 0.674, 0.372], [0.317, 0.493, 0.821], [0.481, 0.474, 0.121], [0.974, 0.806, 0.206], [0.481, 0.974, 0.379]]
}

[9]
{
  "formula": "RbSn2Pd2",
  "functional": "meta-GGA SCAN",
  "state": "single point on PBEsol structure",
  "formation_energy_ev_per_atom": -0.4131,
  "lattice_angstrom": [[-4.027, 2.454, 0.684], [-0.446, -1.938, 4.330], [5.151, 3.919, -0.337]],
  "species": ["Rb", "Sn", "Sn", "Pd", "Pd"],
  "frac_coords": [[0.000, 0.000, 0.000], [0.354, 0.354, 0.707], [0.646, 0.646, 0.293], [0.250, 0.750, 0.500], [0.750, 0.250, 0.500]]
}

[10]
{
  "formula": "ScTlZn2",
  "functional": "meta-GGA SCAN",
  "state": "single point on PBEsol structure",
  "formation_energy_ev_per_atom": -0.1283,
  "lattice_angstrom": [[-0.111, -1.499, -3.504], [4.263, 0.708, -0.438], [-1.214, -3.722, 3.705]],
  "species": ["Sc", "Tl", "Zn", "Zn"],
  "frac_coords": [[0.489, 0.489, 0.979], [0.258, 0.758, 0.515], [0.022, 0.022, 0.045], [0.731, 0.231, 0.461]]
}

[11]
{
  "formula": "TiSiO2F",
  "functional": "meta-GGA SCAN",
  "state": "single point on PBEsol structure",
  "dft_energy_ev_per_atom": -10.130,
  "lattice_angstrom": [[-2.195, -2.709, -0.431], [-0.172, -0.414, 3.484], [-3.224, 2.588, 0.149]],
  "species": ["Si", "F", "O", "O", "Ti"],
  "frac_coords": [[0.000, 0.000, 0.000], [0.000, 0.000, 0.500], [0.000, 0.500, 0.000], [0.500, 0.000, 0.000], [0.500, 0.500, 0.500]]
}

[12]
{
  "formula": "NaLi3In",
  "functional": "meta-GGA SCAN",
  "state": "single point on PBEsol structure",
  "formation_energy_ev_per_atom": 0.0118,
  "lattice_angstrom": [[-2.164, 2.107, 4.283], [-4.769, -0.755, -2.038], [-0.203, -4.739, 2.229]],
  "species": ["Na", "Li", "Li", "Li", "In"],
  "frac_coords": [[0.500, 0.500, 0.500], [0.000, 0.500, 0.000], [0.000, 0.000, 0.500], [0.500, 0.000, 0.000], [0.000, 0.000, 0.000]]
}

Number 1: DOS at the Fermi energy 0.000 states/eV/atom. Number 2: DOS at the Fermi energy 0.373 states/eV/atom. Number 3: DOS at the Fermi energy 0.605 states/eV/atom. Number 4: DOS at the Fermi energy 0.273 states/eV/atom. Number 5: DOS at the Fermi energy 0.977 states/eV/atom. Number 6: DOS at the Fermi energy 0.387 states/eV/atom. Number 7: DOS at the Fermi energy 0.000 states/eV/atom. Number 8: DOS at the Fermi energy 0.000 states/eV/atom. Number 9: DOS at the Fermi energy 0.427 states/eV/atom. Number 10: DOS at the Fermi energy 0.575 states/eV/atom. Number 11: DOS at the Fermi energy 0.618 states/eV/atom. Number 12: DOS at the Fermi energy 0.443 states/eV/atom.